Ac2PuPt2I2: optimized geometry, PBE-GGA.

Values from the calculation:
Formation energy without anion corrections (meV/atom): -1011
Size of the total moment (μB per formula unit): 5.02

```
data_Ac2PuPt2I2
_cell_length_a 5.260
_cell_length_b 5.260
_cell_length_c 17.464
_cell_angle_alpha 90.00
_cell_angle_beta 90.00
_cell_angle_gamma 90.00
_space_group_name_H-M_alt 'I 4/m m m'
_space_group_IT_number 139
_space_group_name_Hall '-I 4 2'
loop_
_atom_site_label
_atom_site_fract_x
_atom_site_fract_y
_atom_site_fract_z
Ac1 0.000 0.000 0.110
Pu1 0.000 0.000 0.500
Pt1 0.000 0.500 0.000
I1 0.000 0.000 0.311
```